No. 1
VASP calculation (PBE) on a relaxed NaCu2Sb crystal.

Properties
As for the theoretical density: 5098 kg/m³. Its symmetry is P2_1/m. The value obtained for the density of states at the Fermi level is 1.4 states/eV per cell. The value obtained for the calculated total energy is -28.071 eV for the cell shown.

The structure in extended XYZ format:
```
8
Lattice="4.3517 -0.0063 0.0000 -2.1785 5.6261 0.0000 0.0000 0.0000 7.2373" Properties=species:S:1:pos:R:3 pbc="T T T"
Na -0.0077 4.9605 5.4280
Na 2.1809 0.6593 1.8093
Cu -0.0015 2.9443 3.0604
Cu 2.1747 2.6755 4.1769
Cu -0.0015 2.9443 0.5583
Cu 2.1747 2.6755 6.6790
Sb 2.1753 3.9044 1.8093
Sb -0.0022 1.7154 5.4280
```

---

No. 2
VASP calculation (PBE) on a relaxed Sm4ScAl2 crystal.

Properties
As for the theoretical density: 5963 kg/m³. Its symmetry is R-3m. The value obtained for the density of states at the Fermi level is 9.2 states/eV per cell. The value obtained for the calculated total energy is -33.801 eV for the cell shown. Its energy of formation from the pure elements is -1.1 eV/f.u.

The structure in extended XYZ format:
```
7
Lattice="4.9804 0.0000 1.5560 2.2471 4.4446 1.5560 -0.0172 -0.0106 8.8035" Properties=species:S:1:pos:R:3 pbc="T T T"
Sc 0.0000 0.0000 0.0000
Al 5.2964 3.2571 9.2930
Al 1.9139 1.1770 2.6224
Sm 6.2411 3.8380 6.2690
Sm 0.9692 0.5960 5.6464
Sm 4.3760 2.6911 3.4904
Sm 2.8343 1.7430 8.4250
```

---

No. 3
VASP calculation (PBE) on a relaxed TbErTmIn crystal.

Properties
As for the theoretical density: 9070 kg/m³. Its symmetry is Pmmm. The value obtained for the density of states at the Fermi level is 5.5 states/eV per cell. The value obtained for the calculated total energy is -17.454 eV for the cell shown. Its energy of formation from the pure elements is -1.1 eV/f.u.

The structure in extended XYZ format:
```
4
Lattice="4.8120 0.0000 0.0000 0.0000 4.8160 0.0000 0.0000 0.0000 4.8187" Properties=species:S:1:pos:R:3 pbc="T T T"
Tb 2.4060 0.0000 2.4094
Er 2.4060 2.4080 0.0000
Tm 0.0000 2.4080 2.4094
In 0.0000 0.0000 0.0000
```

---

No. 4
VASP calculation (PBE) on a relaxed Zr2CoAu crystal.

Properties
As for the theoretical density: 10028 kg/m³. Its symmetry is P2/m. The value obtained for the density of states at the Fermi level is 3.9 states/eV per cell. The value obtained for the calculated total energy is -28.940 eV for the cell shown. Its energy of formation from the pure elements is -1.5 eV/f.u.

The structure in extended XYZ format:
```
4
Lattice="-1.8127 -2.5326 -0.3643 1.8498 -0.9791 -2.3978 5.8536 -4.5521 2.5185" Properties=species:S:1:pos:R:3 pbc="T T T"
Co 4.8712 -5.4147 -0.0916
Au 1.0195 -2.6491 -0.1520
Zr 5.6935 -4.4239 2.4244
Zr 4.0119 -2.8937 0.1545
```

---

No. 5
VASP calculation (PBE) on a relaxed Pa2Tc5Ge4 crystal.

Properties
As for the theoretical density: 10259 kg/m³. Its symmetry is Fmmm. The value obtained for the density of states at the Fermi level is 10.7 states/eV per cell. The value obtained for the calculated total energy is -91.218 eV for the cell shown. Its energy of formation from the pure elements is -1.9 eV/f.u.

The structure in extended XYZ format:
```
11
Lattice="5.5981 0.0000 0.0000 2.7991 4.6457 0.0000 2.7991 0.0000 7.7336" Properties=species:S:1:pos:R:3 pbc="T T T"
Pa 5.5981 0.0000 1.8425
Pa 2.7991 0.0000 5.8911
Tc 2.7991 0.0000 0.0000
Tc 1.3995 2.3229 0.0000
Tc 4.1986 2.3229 0.0000
Tc 4.1986 2.3229 3.8668
Tc 6.9977 2.3229 3.8668
Ge 5.5981 1.4232 5.6832
Ge 5.5981 3.2226 2.0504
Ge 2.7991 1.4232 2.0504
Ge 8.3972 3.2226 5.6832
```

---

No. 6
VASP calculation (PBE) on a relaxed HoErSc6 crystal.

Properties
As for the theoretical density: 4814 kg/m³. Its symmetry is Cmmm. The value obtained for the density of states at the Fermi level is 15.3 states/eV per cell. The value obtained for the calculated total energy is -46.680 eV for the cell shown. Its energy of formation from the pure elements is 0.5 eV/f.u.

The structure in extended XYZ format:
```
8
Lattice="4.6896 0.0000 0.0000 0.0000 6.6117 -0.7507 0.0000 0.7384 6.6131" Properties=species:S:1:pos:R:3 pbc="T T T"
Ho 2.3448 3.6750 2.9312
Er 2.3448 0.0000 0.0000
Sc 2.3448 0.3692 3.3065
Sc 2.3448 3.3058 -0.3754
Sc 0.0000 1.8359 1.4643
Sc 0.0000 5.5141 4.3980
Sc 0.0000 5.1433 1.0902
Sc 0.0000 2.2067 4.7721
```

---

No. 7
VASP calculation (PBE) on a relaxed BaCd4F8 crystal.

Properties
As for the theoretical density: 4494 kg/m³. Its symmetry is F-43m. The value obtained for the density of states at the Fermi level is 1.8 states/eV per cell. The value obtained for the calculated total energy is -49.235 eV for the cell shown.

The structure in extended XYZ format:
```
13
Lattice="-3.9648 -4.3717 -4.2657 3.1526 -5.6289 -3.3770 -1.4681 -6.8082 2.1263" Properties=species:S:1:pos:R:3 pbc="T T T"
Ba -1.7102 -12.6066 -4.1373
Cd -2.8834 -8.4914 -4.2405
Cd 0.7715 -9.1370 -3.7841
Cd -1.6013 -9.7426 -0.9582
Cd -0.8474 -6.2465 -2.0500
F -1.9984 -4.2735 -2.5936
F 0.9962 -4.8025 -2.2197
F -0.9479 -5.2986 0.0957
F -0.3302 -2.4342 -0.7989
F 0.3215 -8.3314 -1.5153
F -2.7430 -7.7901 -1.8980
F -0.7535 -7.2823 -4.2675
F -1.3856 -10.2137 -3.3520
```

---

No. 8
VASP calculation (PBE) on a relaxed Li2GdPb crystal.

Properties
As for the theoretical density: 6413 kg/m³. Its symmetry is P4/mmm. The value obtained for the density of states at the Fermi level is 3.3 states/eV per cell. The value obtained for the calculated total energy is -22.622 eV for the cell shown. Its energy of formation from the pure elements is -1.0 eV/f.u.

The structure in extended XYZ format:
```
4
Lattice="4.8559 0.0000 0.0000 0.0000 4.4917 0.0000 0.0000 0.0000 4.4917" Properties=species:S:1:pos:R:3 pbc="T T T"
Pb 2.4280 2.2458 2.2458
Gd 2.4280 0.0000 0.0000
Li 0.0000 0.0000 2.2458
Li 0.0000 2.2458 0.0000
```

---

No. 9
VASP calculation (PBE) on a relaxed Zr2BeAg crystal.

Properties
As for the theoretical density: 6857 kg/m³. Its symmetry is P4mm. The value obtained for the density of states at the Fermi level is 2.8 states/eV per cell. The value obtained for the calculated total energy is -23.614 eV for the cell shown. Its energy of formation from the pure elements is 0.1 eV/f.u.

The structure in extended XYZ format:
```
4
Lattice="-2.6852 1.4504 -0.1525 -1.4301 -2.6812 -0.3208 -0.7269 -0.5348 7.7113" Properties=species:S:1:pos:R:3 pbc="T T T"
Be -2.5797 -0.9995 5.3022
Zr -0.7003 -0.5152 7.4289
Zr -2.2484 -0.7558 1.7877
Ag -0.4040 -0.2973 4.2862
```

---

No. 10
VASP calculation (PBE) on a relaxed BaLi2SiAu crystal.

Properties
As for the theoretical density: 5088 kg/m³. Its symmetry is P4/mmm. The value obtained for the density of states at the Fermi level is 1.6 states/eV per cell. The value obtained for the calculated total energy is -15.931 eV for the cell shown.

The structure in extended XYZ format:
```
5
Lattice="4.9588 0.0000 0.0000 0.0000 4.9588 0.0000 0.0000 0.0000 4.9943" Properties=species:S:1:pos:R:3 pbc="T T T"
Si 0.0000 0.0000 0.0000
Au 0.0000 0.0000 2.4972
Ba 2.4794 2.4794 2.4972
Li 0.0000 2.4794 0.0000
Li 2.4794 0.0000 0.0000
```

---

No. 11
VASP calculation (PBE) on a relaxed ZrCd2Hg crystal.

Properties
As for the theoretical density: 8986 kg/m³. Its symmetry is P-3m1. The value obtained for the density of states at the Fermi level is 4.5 states/eV per cell. The value obtained for the calculated total energy is -20.698 eV for the cell shown. Its energy of formation from the pure elements is 0.3 eV/f.u.

The structure in extended XYZ format:
```
8
Lattice="2.4745 -4.2860 0.0000 2.4745 4.2860 0.0000 0.0000 0.0000 9.0019" Properties=species:S:1:pos:R:3 pbc="T T T"
Zr 2.4745 -1.4287 2.2537
Zr 2.4745 1.4287 6.7482
Cd 2.4745 -1.4287 8.2876
Cd 2.4745 1.4287 0.7142
Cd 2.4745 -1.4287 5.2179
Cd 2.4745 1.4287 3.7840
Hg 0.0000 0.0000 6.7614
Hg 0.0000 0.0000 2.2405
```

---

No. 12
VASP calculation (PBE) on a relaxed Rb2HgPd2 crystal.

Properties
As for the theoretical density: 4829 kg/m³. Its symmetry is R-3m. The value obtained for the density of states at the Fermi level is 2.6 states/eV per cell. The value obtained for the calculated total energy is -13.390 eV for the cell shown. Its energy of formation from the pure elements is -0.8 eV/f.u.

The structure in extended XYZ format:
```
5
Lattice="-2.9725 2.1992 3.0128 -2.6572 -2.5600 3.0225 5.5583 0.3864 8.9771" Properties=species:S:1:pos:R:3 pbc="T T T"
Rb 1.6289 0.1262 9.0657
Rb -1.7002 -0.1006 5.9468
Hg 0.0000 0.0000 0.0000
Pd 1.5832 0.1307 12.7926
Pd -1.6545 -0.1051 2.2198
```